This record from Alexandria via LeMat-Bulk describes a relaxed PuTe3Au2 crystal. The functional is PBE-GGA.

abc: 4.4065 7.1167 12.5321
angles: 114.96 90.00 90.00
Last column: nearest neighbours and their distance in Å.
Element x y z (fractional)
Pu 0.2500 0.8617 0.3184  5 Te 3.07-3.19, 2 Au 3.22
Pu 0.7500 0.1383 0.6816  5 Te 3.07-3.19, 2 Au 3.22
Te 0.7500 0.0066 0.1900  2 Au 2.70-2.84
Te 0.2500 0.9934 0.8100  2 Au 2.70-2.84
Te 0.7500 0.5982 0.8543  3 Au 2.75-2.99, 1 Pu 3.07
Te 0.2500 0.4018 0.1457  3 Au 2.75-2.99, 1 Pu 3.07
Te 0.2500 0.3286 0.5718  2 Au 2.75
Te 0.7500 0.6714 0.4282  2 Au 2.75
Au 0.2500 0.4339 0.9155  4 Te 2.75-2.99, 2 Au 2.92
Au 0.7500 0.5661 0.0845  4 Te 2.75-2.99, 2 Au 2.92
Au 0.7500 0.2223 0.4263  3 Te 2.70-2.75
Au 0.2500 0.7777 0.5737  3 Te 2.70-2.75

Computed properties:
Total magnetic moment = 4.6 μB/f.u.
Uncorrected formation energy = -41.0 kJ per mole of atoms